DFT (GGA-PBE) results for Sm2Tl3Te6Pb after structural relaxation.

Mass density = 7257 kg/m³
Electronic total energy = -4.055 eV per atom

The structure in CIF format:
```
data_Sm2Tl3Te6Pb
_chemical_formula_sum 'Sm2 Tl3 Te6 Pb1'
_symmetry_space_group_name_H-M 'P 1'
_symmetry_Int_Tables_number 1
_symmetry_space_group_name_Hall 'P 1'
_cell_length_a 7.9429
_cell_length_b 7.9429
_cell_length_c 8.3332
_cell_angle_alpha 99.11
_cell_angle_beta 99.11
_cell_angle_gamma 120.03
loop_
_atom_site_label
_atom_site_type_symbol
_atom_site_fract_x
_atom_site_fract_y
_atom_site_fract_z
Sm1 Sm 0.3321 0.6679 0.0000
Sm2 Sm 0.6679 0.3321 0.0000
Tl1 Tl 0.1630 0.8370 0.5000
Tl2 Tl 0.8370 0.1630 0.5000
Tl3 Tl 0.5000 0.5000 0.5000
Te1 Te 0.9238 0.5781 0.7730
Te2 Te 0.7277 0.7277 0.2219
Te3 Te 0.0762 0.4219 0.2270
Te4 Te 0.5781 0.9238 0.7730
Te5 Te 0.2723 0.2723 0.7781
Te6 Te 0.4219 0.0762 0.2270
Pb1 Pb 0.0000 0.0000 0.0000
```

DFT (GGA-PBE) results for Sm6TlTe3Pb2 after structural relaxation.

Mass density = 8248 kg/m³
Electronic total energy = -4.906 eV per atom

The structure in CIF format:
```
data_Sm6TlTe3Pb2
_chemical_formula_sum 'Sm6 Tl1 Te3 Pb2'
_symmetry_space_group_name_H-M 'P 1'
_symmetry_Int_Tables_number 1
_symmetry_space_group_name_Hall 'P 1'
_cell_length_a 4.4638
_cell_length_b 9.0405
_cell_length_c 10.1323
_cell_angle_alpha 105.65
_cell_angle_beta 102.73
_cell_angle_gamma 90.00
loop_
_atom_site_label
_atom_site_type_symbol
_atom_site_fract_x
_atom_site_fract_y
_atom_site_fract_z
Sm1 Sm 0.3337 0.9175 0.6674
Sm2 Sm 0.6682 0.5768 0.3364
Sm3 Sm 0.6663 0.0825 0.3326
Sm4 Sm 0.9989 0.2507 0.9978
Sm5 Sm 0.0011 0.7493 0.0022
Sm6 Sm 0.3318 0.4232 0.6636
Tl1 Tl 0.5000 0.0000 0.0000
Te1 Te 0.5000 0.5000 0.0000
Te2 Te 0.8321 0.1696 0.6643
Te3 Te 0.1679 0.8304 0.3357
Pb1 Pb 0.8351 0.6718 0.6703
Pb2 Pb 0.1649 0.3282 0.3297
```

DFT (GGA-PBE) results for Sm2TlTe6Pb3 after structural relaxation.

Mass density = 7537 kg/m³
Electronic total energy = -4.210 eV per atom

The structure in CIF format:
```
data_Sm2TlTe6Pb3
_chemical_formula_sum 'Sm2 Tl1 Te6 Pb3'
_symmetry_space_group_name_H-M 'P 1'
_symmetry_Int_Tables_number 1
_symmetry_space_group_name_Hall 'P 1'
_cell_length_a 4.5380
_cell_length_b 9.4184
_cell_length_c 10.2921
_cell_angle_alpha 103.34
_cell_angle_beta 102.74
_cell_angle_gamma 90.00
loop_
_atom_site_label
_atom_site_type_symbol
_atom_site_fract_x
_atom_site_fract_y
_atom_site_fract_z
Sm1 Sm 0.8312 0.6520 0.6625
Sm2 Sm 0.1688 0.3480 0.3375
Tl1 Tl 0.5000 0.0000 0.0000
Te1 Te 0.3236 0.8899 0.6472
Te2 Te 0.6692 0.5880 0.3385
Te3 Te 0.6764 0.1101 0.3528
Te4 Te 0.0088 0.2636 0.0175
Te5 Te 0.9912 0.7364 0.9825
Te6 Te 0.3308 0.4120 0.6615
Pb1 Pb 0.5000 0.5000 0.0000
Pb2 Pb 0.8426 0.1507 0.6852
Pb3 Pb 0.1574 0.8493 0.3148
```

DFT (GGA-PBE) results for SmYTePb after structural relaxation.

Mass density = 7577 kg/m³
Electronic total energy = -5.490 eV per atom

The structure in CIF format:
```
data_SmYTePb
_chemical_formula_sum 'Sm1 Y1 Te1 Pb1'
_symmetry_space_group_name_H-M 'P 1'
_symmetry_Int_Tables_number 1
_symmetry_space_group_name_Hall 'P 1'
_cell_length_a 4.4622
_cell_length_b 4.4622
_cell_length_c 7.7375
_cell_angle_alpha 73.24
_cell_angle_beta 73.24
_cell_angle_gamma 60.00
loop_
_atom_site_label
_atom_site_type_symbol
_atom_site_fract_x
_atom_site_fract_y
_atom_site_fract_z
Sm1 Sm 0.9471 0.9471 0.1587
Y1 Y 0.4413 0.4413 0.6760
Te1 Te 0.1923 0.1923 0.4230
Pb1 Pb 0.6957 0.6957 0.9130
```

DFT (GGA-PBE) results for SmTh3Pb12 after structural relaxation.

Mass density = 11714 kg/m³
DFT formation energy = -262 meV/atom

The structure in CIF format:
```
data_SmTh3Pb12
_chemical_formula_sum 'Sm1 Th3 Pb12'
_symmetry_space_group_name_H-M 'P 1'
_symmetry_Int_Tables_number 1
_symmetry_space_group_name_Hall 'P 1'
_cell_length_a 4.9561
_cell_length_b 4.9561
_cell_length_c 19.2339
_cell_angle_alpha 90.00
_cell_angle_beta 90.00
_cell_angle_gamma 90.00
loop_
_atom_site_label
_atom_site_type_symbol
_atom_site_fract_x
_atom_site_fract_y
_atom_site_fract_z
Sm1 Sm 0.0000 0.0000 0.0000
Th1 Th 0.0000 0.0000 0.2510
Th2 Th 0.0000 0.0000 0.5000
Th3 Th 0.0000 0.0000 0.7490
Pb1 Pb 0.5000 0.5000 0.0000
Pb2 Pb 0.5000 0.5000 0.2489
Pb3 Pb 0.5000 0.5000 0.5000
Pb4 Pb 0.5000 0.5000 0.7511
Pb5 Pb 0.5000 0.0000 0.1240
Pb6 Pb 0.5000 0.0000 0.3747
Pb7 Pb 0.5000 0.0000 0.6253
Pb8 Pb 0.5000 0.0000 0.8760
Pb9 Pb 0.0000 0.5000 0.1240
Pb10 Pb 0.0000 0.5000 0.3747
Pb11 Pb 0.0000 0.5000 0.6253
Pb12 Pb 0.0000 0.5000 0.8760
```

DFT (GGA-PBE) results for SmThPb after structural relaxation.

Mass density = 10294 kg/m³
DFT formation energy = -44 meV/atom

The structure in CIF format:
```
data_SmThPb
_chemical_formula_sum 'Sm1 Th1 Pb1'
_symmetry_space_group_name_H-M 'P 1'
_symmetry_Int_Tables_number 1
_symmetry_space_group_name_Hall 'P 1'
_cell_length_a 3.6037
_cell_length_b 5.5204
_cell_length_c 5.5204
_cell_angle_alpha 120.00
_cell_angle_beta 90.00
_cell_angle_gamma 90.00
loop_
_atom_site_label
_atom_site_type_symbol
_atom_site_fract_x
_atom_site_fract_y
_atom_site_fract_z
Pb1 Pb 0.3638 0.3333 0.6667
Sm1 Sm 0.5833 0.6667 0.3333
Th1 Th 0.0530 0.0000 0.0000
```

DFT (GGA-PBE) results for SmThPb after structural relaxation.

Mass density = 10218 kg/m³
DFT formation energy = -374 meV/atom

The structure in CIF format:
```
data_SmThPb
_chemical_formula_sum 'Sm2 Th2 Pb2'
_symmetry_space_group_name_H-M 'P 1'
_symmetry_Int_Tables_number 1
_symmetry_space_group_name_Hall 'P 1'
_cell_length_a 4.6212
_cell_length_b 4.6212
_cell_length_c 9.5500
_cell_angle_alpha 104.00
_cell_angle_beta 104.00
_cell_angle_gamma 90.00
loop_
_atom_site_label
_atom_site_type_symbol
_atom_site_fract_x
_atom_site_fract_y
_atom_site_fract_z
Sm1 Sm 0.1747 0.1747 0.3493
Sm2 Sm 0.8253 0.8253 0.6507
Th1 Th 0.0000 0.5000 0.0000
Th2 Th 0.5000 0.0000 0.0000
Pb1 Pb 0.3570 0.3570 0.7139
Pb2 Pb 0.6430 0.6430 0.2861
```

DFT (GGA-PBE) results for SmThPb6 after structural relaxation.

Mass density = 11410 kg/m³
DFT formation energy = -282 meV/atom

The structure in CIF format:
```
data_SmThPb6
_chemical_formula_sum 'Sm1 Th1 Pb6'
_symmetry_space_group_name_H-M 'P 1'
_symmetry_Int_Tables_number 1
_symmetry_space_group_name_Hall 'P 1'
_cell_length_a 4.9118
_cell_length_b 4.9118
_cell_length_c 9.8065
_cell_angle_alpha 90.00
_cell_angle_beta 90.00
_cell_angle_gamma 90.00
loop_
_atom_site_label
_atom_site_type_symbol
_atom_site_fract_x
_atom_site_fract_y
_atom_site_fract_z
Sm1 Sm 0.0000 0.0000 0.5000
Th1 Th 0.0000 0.0000 0.0000
Pb1 Pb 0.5000 0.5000 0.0000
Pb2 Pb 0.5000 0.5000 0.5000
Pb3 Pb 0.5000 0.0000 0.2513
Pb4 Pb 0.5000 0.0000 0.7487
Pb5 Pb 0.0000 0.5000 0.2513
Pb6 Pb 0.0000 0.5000 0.7487
```

DFT (GGA-PBE) results for SmThPb after structural relaxation.

Mass density = 9514 kg/m³
DFT formation energy = 336 meV/atom

The structure in CIF format:
```
data_SmThPb
_chemical_formula_sum 'Sm1 Th1 Pb1'
_symmetry_space_group_name_H-M 'P 1'
_symmetry_Int_Tables_number 1
_symmetry_space_group_name_Hall 'P 1'
_cell_length_a 3.3398
_cell_length_b 3.3398
_cell_length_c 9.5233
_cell_angle_alpha 100.10
_cell_angle_beta 100.10
_cell_angle_gamma 90.00
loop_
_atom_site_label
_atom_site_type_symbol
_atom_site_fract_x
_atom_site_fract_y
_atom_site_fract_z
Pb1 Pb 0.7718 0.7718 0.5437
Sm1 Sm 0.9456 0.9456 0.8911
Th1 Th 0.1326 0.1326 0.2652
```

DFT (GGA-PBE) results for Sm5ThPb5 after structural relaxation.

Mass density = 8649 kg/m³
DFT formation energy = -288 meV/atom

The structure in CIF format:
```
data_Sm5ThPb5
_chemical_formula_sum 'Sm5 Th1 Pb5'
_symmetry_space_group_name_H-M 'P 1'
_symmetry_Int_Tables_number 1
_symmetry_space_group_name_Hall 'P 1'
_cell_length_a 6.3853
_cell_length_b 7.9245
_cell_length_c 8.7715
_cell_angle_alpha 105.81
_cell_angle_beta 90.00
_cell_angle_gamma 113.76
loop_
_atom_site_label
_atom_site_type_symbol
_atom_site_fract_x
_atom_site_fract_y
_atom_site_fract_z
Sm1 Sm 0.6651 0.3301 0.3347
Sm2 Sm 0.6691 0.3381 0.8364
Sm3 Sm 0.0000 0.0000 0.5000
Sm4 Sm 0.3309 0.6619 0.1636
Sm5 Sm 0.3349 0.6699 0.6653
Th1 Th 0.0000 0.0000 0.0000
Pb1 Pb 0.8343 0.6686 0.1740
Pb2 Pb 0.8337 0.6673 0.6624
Pb3 Pb 0.5000 0.0000 0.0000
Pb4 Pb 0.1663 0.3327 0.3376
Pb5 Pb 0.1657 0.3314 0.8260
```